(1)
# Pr4AgSb PBE-GGA optimized geometry
# density of states at the Fermi level	6.73	states/eV/f.u.
# electronic total energy	-111.48	eV for the cell shown
# total magnetization	0.00	μB/cell
data_Pr4AgSb
_space_group_name_H-M_alt 'C m c m'
_space_group_IT_number 63
_space_group_name_Hall '-C 2c 2'
_cell_length_a 5.7080
_cell_length_b 21.5626
_cell_length_c 6.5663
_cell_angle_alpha 90.00
_cell_angle_beta 90.00
_cell_angle_gamma 90.00
loop_
_atom_site_label
_atom_site_type_symbol
_atom_site_fract_x
_atom_site_fract_y
_atom_site_fract_z
_atom_site_occupancy
Pr1 Pr 0.0000 0.0585 0.2500 1
Pr2 Pr 0.0000 0.2093 0.0037 1
Pr3 Pr 0.0000 0.3812 0.2500 1
Ag1 Ag 0.0000 0.0800 0.7500 1
Sb1 Sb 0.0000 0.3486 0.7500 1

(2)
# PrYAgSb PBE-GGA optimized geometry
# density of states at the Fermi level	4.81	states/eV/f.u.
# electronic total energy	-82.16	eV for the cell shown
# total magnetization	0.01	μB/cell
data_PrYAgSb
_space_group_name_H-M_alt 'F -4 3 m'
_space_group_IT_number 216
_space_group_name_Hall 'F -4 2 3'
_cell_length_a 7.5353
_cell_length_b 7.5353
_cell_length_c 7.5353
_cell_angle_alpha 90.00
_cell_angle_beta 90.00
_cell_angle_gamma 90.00
loop_
_atom_site_label
_atom_site_type_symbol
_atom_site_fract_x
_atom_site_fract_y
_atom_site_fract_z
_atom_site_occupancy
Pr1 Pr 0.0000 0.0000 0.0000 1
Y1 Y 0.0000 0.0000 0.5000 1
Ag1 Ag 0.2500 0.2500 0.7500 1
Sb1 Sb 0.2500 0.2500 0.2500 1

(3)
# PrSc5Ag6 PBE-GGA optimized geometry
# density of states at the Fermi level	9.54	states/eV/f.u.
# formation energy from the elements	-0.243	eV/atom
# total magnetization	0.00	μB/cell
data_PrSc5Ag6
_space_group_name_H-M_alt 'C 1 2/m 1'
_space_group_IT_number 12
_cell_length_a 15.6702
_cell_length_b 6.9604
_cell_length_c 4.9585
_cell_angle_alpha 90.00
_cell_angle_beta 108.21
_cell_angle_gamma 90.00
loop_
_space_group_symop_operation_xyz
'x,y,z'
'-x,-y,-z'
'-x,y,-z'
'x,-y,z'
'x+1/2,y+1/2,z'
'-x+1/2,-y+1/2,-z'
'-x+1/2,y+1/2,-z'
'x+1/2,-y+1/2,z'
loop_
_atom_site_label
_atom_site_type_symbol
_atom_site_fract_x
_atom_site_fract_y
_atom_site_fract_z
_atom_site_occupancy
Pr1 Pr 0.0000 0.0000 0.0000 1
Sc1 Sc 0.0000 0.5000 0.0000 1
Sc2 Sc 0.1653 0.0000 0.6651 1
Sc3 Sc 0.1688 0.5000 0.6683 1
Ag1 Ag 0.0000 0.2773 0.5000 1
Ag2 Ag 0.1746 0.2638 0.1741 1

(4)
# PrSc2Ag PBE-GGA optimized geometry
# density of states at the Fermi level	6.83	states/eV/f.u.
# formation energy from the elements	0.032	eV/atom
# E above lowest polymorph	119	meV per atom
# total magnetization	0.67	μB/cell
data_PrSc2Ag
_space_group_name_H-M_alt 'P 4/m m m'
_space_group_IT_number 123
_space_group_name_Hall '-P 4 2'
_cell_length_a 4.5844
_cell_length_b 4.5844
_cell_length_c 4.7743
_cell_angle_alpha 90.00
_cell_angle_beta 90.00
_cell_angle_gamma 90.00
loop_
_atom_site_label
_atom_site_type_symbol
_atom_site_fract_x
_atom_site_fract_y
_atom_site_fract_z
_atom_site_occupancy
Pr1 Pr 0.0000 0.0000 0.0000 1
Sc1 Sc 0.0000 0.5000 0.5000 1
Ag1 Ag 0.5000 0.5000 0.0000 1

(5)
# Pr2ScAg6 PBE-GGA optimized geometry
# density of states at the Fermi level	8.59	states/eV/f.u.
# formation energy from the elements	-0.146	eV/atom
# total magnetization	0.00	μB/cell
data_Pr2ScAg6
_space_group_name_H-M_alt 'P -3 m 1'
_space_group_IT_number 164
_space_group_name_Hall '-P 3 2"'
_cell_length_a 6.2917
_cell_length_b 6.2917
_cell_length_c 6.0911
_cell_angle_alpha 90.00
_cell_angle_beta 90.00
_cell_angle_gamma 120.00
loop_
_atom_site_label
_atom_site_type_symbol
_atom_site_fract_x
_atom_site_fract_y
_atom_site_fract_z
_atom_site_occupancy
Pr1 Pr 0.3333 0.6667 0.3574 1
Sc1 Sc 0.0000 0.0000 0.5000 1
Ag1 Ag 0.1805 0.3610 0.8312 1

(6)
# Pr4ScAg PBE-GGA optimized geometry
# density of states at the Fermi level	8.59	states/eV/f.u.
# formation energy from the elements	-0.042	eV/atom
# total magnetization	0.00	μB/cell
data_Pr4ScAg
_space_group_name_H-M_alt 'P 4/m m m'
_space_group_IT_number 123
_space_group_name_Hall '-P 4 2'
_cell_length_a 3.6820
_cell_length_b 3.6820
_cell_length_c 13.8163
_cell_angle_alpha 90.00
_cell_angle_beta 90.00
_cell_angle_gamma 90.00
loop_
_atom_site_label
_atom_site_type_symbol
_atom_site_fract_x
_atom_site_fract_y
_atom_site_fract_z
_atom_site_occupancy
Pr1 Pr 0.0000 0.0000 0.1446 1
Pr2 Pr 0.5000 0.5000 0.3356 1
Sc1 Sc 0.0000 0.0000 0.5000 1
Ag1 Ag 0.5000 0.5000 0.0000 1

(7)
# Pr3ScAg4 PBE-GGA optimized geometry
# density of states at the Fermi level	7.24	states/eV/f.u.
# formation energy from the elements	-0.237	eV/atom
# total magnetization	0.00	μB/cell
data_Pr3ScAg4
_space_group_name_H-M_alt 'P 4/m m m'
_space_group_IT_number 123
_space_group_name_Hall '-P 4 2'
_cell_length_a 3.6449
_cell_length_b 3.6449
_cell_length_c 15.1976
_cell_angle_alpha 90.00
_cell_angle_beta 90.00
_cell_angle_gamma 90.00
loop_
_atom_site_label
_atom_site_type_symbol
_atom_site_fract_x
_atom_site_fract_y
_atom_site_fract_z
_atom_site_occupancy
Pr1 Pr 0.0000 0.0000 0.0000 1
Pr2 Pr 0.0000 0.0000 0.2614 1
Sc1 Sc 0.0000 0.0000 0.5000 1
Ag1 Ag 0.5000 0.5000 0.1298 1
Ag2 Ag 0.5000 0.5000 0.3991 1

(8)
# PrSc2Ag2 PBE-GGA optimized geometry
# density of states at the Fermi level	4.76	states/eV/f.u.
# formation energy from the elements	-0.062	eV/atom
# total magnetization	1.24	μB/cell
data_PrSc2Ag2
_space_group_name_H-M_alt 'C m m m'
_space_group_IT_number 65
_space_group_name_Hall '-C 2 2'
_cell_length_a 3.5930
_cell_length_b 19.8460
_cell_length_c 3.4238
_cell_angle_alpha 90.00
_cell_angle_beta 90.00
_cell_angle_gamma 90.00
loop_
_atom_site_label
_atom_site_type_symbol
_atom_site_fract_x
_atom_site_fract_y
_atom_site_fract_z
_atom_site_occupancy
Pr1 Pr 0.0000 0.0000 0.0000 1
Sc1 Sc 0.0000 0.1848 0.0000 1
Ag1 Ag 0.0000 0.3888 0.5000 1

(9)
# Pr5ScAg6 PBE-GGA optimized geometry
# density of states at the Fermi level	11.24	states/eV/f.u.
# formation energy from the elements	-0.231	eV/atom
# total magnetization	0.39	μB/cell
data_Pr5ScAg6
_space_group_name_H-M_alt 'P 1 2/m 1'
_space_group_IT_number 10
_cell_length_a 5.2646
_cell_length_b 7.4313
_cell_length_c 8.3589
_cell_angle_alpha 90.00
_cell_angle_beta 107.94
_cell_angle_gamma 90.00
loop_
_space_group_symop_operation_xyz
'x,y,z'
'-x,-y,-z'
'-x,y,-z'
'x,-y,z'
loop_
_atom_site_label
_atom_site_type_symbol
_atom_site_fract_x
_atom_site_fract_y
_atom_site_fract_z
_atom_site_occupancy
Pr1 Pr 0.0000 0.0000 0.0000 1
Pr2 Pr 0.3291 0.0000 0.6591 1
Pr3 Pr 0.3341 0.5000 0.6689 1
Sc1 Sc 0.0000 0.5000 0.0000 1
Ag1 Ag 0.1570 0.2644 0.3124 1
Ag2 Ag 0.5000 0.2690 0.0000 1

(10)
# Pr4ScAg3 PBE-GGA optimized geometry
# density of states at the Fermi level	8.29	states/eV/f.u.
# formation energy from the elements	-0.147	eV/atom
# total magnetization	0.26	μB/cell
data_Pr4ScAg3
_space_group_name_H-M_alt 'P m m m'
_space_group_IT_number 47
_cell_length_a 3.7029
_cell_length_b 5.4554
_cell_length_c 10.9947
_cell_angle_alpha 90.00
_cell_angle_beta 90.00
_cell_angle_gamma 90.00
loop_
_space_group_symop_operation_xyz
'x,y,z'
'-x,-y,-z'
'-x,-y,z'
'x,y,-z'
'x,-y,-z'
'-x,y,z'
'-x,y,-z'
'x,-y,z'
loop_
_atom_site_label
_atom_site_type_symbol
_atom_site_fract_x
_atom_site_fract_y
_atom_site_fract_z
_atom_site_occupancy
Pr1 Pr 0.0000 0.0000 0.0000 1
Pr2 Pr 0.0000 0.0000 0.5000 1
Pr3 Pr 0.0000 0.5000 0.2407 1
Sc1 Sc 0.5000 0.5000 0.5000 1
Ag1 Ag 0.5000 0.0000 0.2598 1
Ag2 Ag 0.5000 0.5000 0.0000 1

(11)
# PrSc4Ag5 PBE-GGA optimized geometry
# density of states at the Fermi level	6.79	states/eV/f.u.
# formation energy from the elements	-0.263	eV/atom
# total magnetization	0.00	μB/cell
data_PrSc4Ag5
_space_group_name_H-M_alt 'P 4/m m m'
_space_group_IT_number 123
_space_group_name_Hall '-P 4 2'
_cell_length_a 3.4674
_cell_length_b 3.4674
_cell_length_c 17.8416
_cell_angle_alpha 90.00
_cell_angle_beta 90.00
_cell_angle_gamma 90.00
loop_
_atom_site_label
_atom_site_type_symbol
_atom_site_fract_x
_atom_site_fract_y
_atom_site_fract_z
_atom_site_occupancy
Pr1 Pr 0.0000 0.0000 0.0000 1
Sc1 Sc 0.0000 0.0000 0.2125 1
Sc2 Sc 0.0000 0.0000 0.4044 1
Ag1 Ag 0.5000 0.5000 0.1236 1
Ag2 Ag 0.5000 0.5000 0.3081 1
Ag3 Ag 0.5000 0.5000 0.5000 1

(12)
# PrScAg6 PBE-GGA optimized geometry
# density of states at the Fermi level	5.00	states/eV/f.u.
# formation energy from the elements	-0.159	eV/atom
# total magnetization	0.00	μB/cell
data_PrScAg6
_space_group_name_H-M_alt 'C 1 2/m 1'
_space_group_IT_number 12
_cell_length_a 9.1706
_cell_length_b 4.5143
_cell_length_c 9.0659
_cell_angle_alpha 90.00
_cell_angle_beta 118.30
_cell_angle_gamma 90.00
loop_
_space_group_symop_operation_xyz
'x,y,z'
'-x,-y,-z'
'-x,y,-z'
'x,-y,z'
'x+1/2,y+1/2,z'
'-x+1/2,-y+1/2,-z'
'-x+1/2,y+1/2,-z'
'x+1/2,-y+1/2,z'
loop_
_atom_site_label
_atom_site_type_symbol
_atom_site_fract_x
_atom_site_fract_y
_atom_site_fract_z
_atom_site_occupancy
Pr1 Pr 0.0000 0.0000 0.0000 1
Sc1 Sc 0.0000 0.0000 0.5000 1
Ag1 Ag 0.0075 0.5000 0.7412 1
Ag2 Ag 0.2419 0.0000 0.8466 1
Ag3 Ag 0.2461 0.5000 0.6110 1

(13)
# Pr3Sc2Ag2 PBE-GGA optimized geometry
# density of states at the Fermi level	9.02	states/eV/f.u.
# formation energy from the elements	0.013	eV/atom
# total magnetization	0.92	μB/cell
data_Pr3Sc2Ag2
_space_group_name_H-M_alt 'C m m m'
_space_group_IT_number 65
_space_group_name_Hall '-C 2 2'
_cell_length_a 4.8606
_cell_length_b 22.4489
_cell_length_c 3.4889
_cell_angle_alpha 90.00
_cell_angle_beta 90.00
_cell_angle_gamma 90.00
loop_
_atom_site_label
_atom_site_type_symbol
_atom_site_fract_x
_atom_site_fract_y
_atom_site_fract_z
_atom_site_occupancy
Pr1 Pr 0.0000 0.0000 0.0000 1
Pr2 Pr 0.0000 0.1498 0.0000 1
Sc1 Sc 0.0000 0.2869 0.5000 1
Ag1 Ag 0.0000 0.4255 0.5000 1